Rb2In3Cl5: relaxed, PBE.

Cell: 8.6008 8.6008 11.7980 Å, 124.68 124.68 30.22°
Sites, in units of the cell vectors:
Rb 0.1714 0.1714 0.2696
Rb 0.8286 0.8286 0.7304
In 0.0000 0.0000 0.5000
In 0.3885 0.3885 0.1274
In 0.6115 0.6115 0.8726
Cl 0.2090 0.2090 0.8008
Cl 0.3999 0.3999 0.5863
Cl 0.5000 0.5000 0.0000
Cl 0.6001 0.6001 0.4137
Cl 0.7910 0.7910 0.1992

Properties
symmetry = C2/m
crystal system = monoclinic
raw formation energy = -1.23 eV per atom
Fermi-level density of states = 0.000 states/eV/atom
final energy = -3.1704 eV per atom
total magnetic moment = 0.0 μB per formula unit